DFT (PBE) results for an optimized crystal structure of CaTiTe2Cl.

Unit cell a=5.882 b=4.976 c=5.882 alpha=90.00 beta=90.00 gamma=90.00
Site moments in Bohr magnetons follow the coordinates.
Sites, in units of the cell vectors:
Te  0.500  0.000  0.000  -0.13
Te  0.000  0.000  0.500  -0.15
Ti  0.500  0.500  0.500  1.80
Ca  0.000  0.000  0.000  -0.01
Cl  0.000  0.500  0.000  0.00

Calculated values
Energy above the most stable polymorph in this dataset = 0 meV per atom
Formation energy from raw total energies = -0.205 eV per atom
Theoretical density = 3651 kg/m³